Entry 1:
# Re2NiRh GGA-PBEsol optimized geometry
# Relative energy among the computed polymorphs, eV/atom: 0.000
# Energy of formation from the pure elements, kcal/mol of atoms: -2.31
data_Re2NiRh
_chemical_formula_sum 'Re2 Ni1 Rh1'
_cell_length_a 2.659
_cell_length_b 4.259
_cell_length_c 4.678
_cell_angle_alpha 90.00
_cell_angle_beta 90.00
_cell_angle_gamma 90.00
_symmetry_space_group_name_H-M 'P m m 2'
_symmetry_Int_Tables_number 25
_symmetry_space_group_name_Hall 'P 2 -2'
loop_
_atom_site_label
_atom_site_fract_x
_atom_site_fract_y
_atom_site_fract_z
Re1 0.000 0.000 0.000
Re2 0.000 0.500 0.328
Ni1 0.500 0.000 0.497
Rh1 0.500 0.500 0.812

=====

Entry 2:
# Sc2TaTe GGA-PBEsol optimized geometry
# Relative energy among the computed polymorphs, eV/atom: 0.026
# Formation energy (no corrections), eV/atom: -0.16
data_Sc2TaTe
_chemical_formula_sum 'Sc2 Ta1 Te1'
_cell_length_a 3.612
_cell_length_b 3.612
_cell_length_c 6.266
_cell_angle_alpha 90.00
_cell_angle_beta 90.00
_cell_angle_gamma 90.00
_symmetry_space_group_name_H-M 'P 4 m m'
_symmetry_Int_Tables_number 99
_symmetry_space_group_name_Hall 'P 4 -2'
loop_
_atom_site_label
_atom_site_fract_x
_atom_site_fract_y
_atom_site_fract_z
Sc1 0.000 0.000 0.000
Sc2 0.500 0.500 0.270
Ta1 0.000 0.000 0.524
Te1 0.500 0.500 0.752

=====

Entry 3:
# NaTlBi3 GGA-PBEsol optimized geometry
# Energy of formation from the pure elements, kcal/mol of atoms: 11.90
data_NaTlBi3
_chemical_formula_sum 'Na1 Tl1 Bi3'
_cell_length_a 5.831
_cell_length_b 5.831
_cell_length_c 5.831
_cell_angle_alpha 90.00
_cell_angle_beta 90.00
_cell_angle_gamma 90.00
_symmetry_space_group_name_H-M 'P m -3 m'
_symmetry_Int_Tables_number 221
_symmetry_space_group_name_Hall '-P 4 2 3'
loop_
_atom_site_label
_atom_site_fract_x
_atom_site_fract_y
_atom_site_fract_z
Na1 0.000 0.000 0.000
Tl1 0.500 0.500 0.500
Bi1 0.000 0.500 0.500

=====

Entry 4:
# TiNi GGA-PBEsol optimized geometry
# Energy of formation from the pure elements, kcal/mol of atoms: -8.70
data_TiNi
_chemical_formula_sum 'Ti9 Ni9'
_cell_length_a 7.1791
_cell_length_b 7.1791
_cell_length_c 5.2630
_cell_angle_alpha 90.00
_cell_angle_beta 90.00
_cell_angle_gamma 120.00
_symmetry_space_group_name_H-M 'P -3'
_symmetry_Int_Tables_number 147
_symmetry_space_group_name_Hall '-P 3'
loop_
_atom_site_label
_atom_site_fract_x
_atom_site_fract_y
_atom_site_fract_z
Ti1 0.0000 0.0000 0.0000
Ti2 0.0142 0.3448 0.3466
Ti3 0.3333 0.6667 0.0459
Ni1 0.0000 0.0000 0.5000
Ni2 0.0271 0.3405 0.8597
Ni3 0.3333 0.6667 0.5893

=====

Entry 5:
# ScCuSb2 GGA-PBEsol optimized geometry
# Formation energy (no corrections), eV/atom: -0.31
data_ScCuSb2
_chemical_formula_sum 'Sc2 Cu2 Sb4'
_cell_length_a 4.028
_cell_length_b 4.028
_cell_length_c 9.926
_cell_angle_alpha 90.00
_cell_angle_beta 90.00
_cell_angle_gamma 90.00
_symmetry_space_group_name_H-M 'I -4 m 2'
_symmetry_Int_Tables_number 119
_symmetry_space_group_name_Hall 'I -4 -2'
loop_
_atom_site_label
_atom_site_fract_x
_atom_site_fract_y
_atom_site_fract_z
Sc1 0.000 0.000 0.000
Cu1 0.000 0.500 0.250
Sb1 0.000 0.000 0.500
Sb2 0.000 0.500 0.750

=====

Entry 6:
# EuP2Rh2 GGA-PBEsol optimized geometry
# Energy of formation from the pure elements, kcal/mol of atoms: -24.91
data_EuP2Rh2
_chemical_formula_sum 'Eu2 P4 Rh4'
_cell_length_a 3.958
_cell_length_b 3.958
_cell_length_c 9.892
_cell_angle_alpha 90.00
_cell_angle_beta 90.00
_cell_angle_gamma 90.00
_symmetry_space_group_name_H-M 'I 4/m m m'
_symmetry_Int_Tables_number 139
_symmetry_space_group_name_Hall '-I 4 2'
loop_
_atom_site_label
_atom_site_fract_x
_atom_site_fract_y
_atom_site_fract_z
Eu1 0.000 0.000 0.000
P1 0.000 0.000 0.385
Rh1 0.000 0.500 0.250

=====

Entry 7:
# Sm3Co4Ge13 GGA-PBEsol optimized geometry
# Energy of formation from the pure elements, kcal/mol of atoms: -11.28
data_Sm3Co4Ge13
_chemical_formula_sum 'Sm6 Co8 Ge26'
_cell_length_a 8.717
_cell_length_b 8.717
_cell_length_c 8.717
_cell_angle_alpha 90.00
_cell_angle_beta 90.00
_cell_angle_gamma 90.00
_symmetry_space_group_name_H-M 'P m -3 n'
_symmetry_Int_Tables_number 223
_symmetry_space_group_name_Hall '-P 4n 2 3'
loop_
_atom_site_label
_atom_site_fract_x
_atom_site_fract_y
_atom_site_fract_z
Sm1 0.000 0.250 0.500
Co1 0.250 0.250 0.250
Ge1 0.000 0.000 0.000
Ge2 0.000 0.301 0.153

=====

Entry 8:
# TaCdRe GGA-PBEsol optimized geometry
# Relative energy among the computed polymorphs, eV/atom: 0.000
# Energy of formation from the pure elements, kcal/mol of atoms: 4.68
data_TaCdRe
_chemical_formula_sum 'Ta2 Cd2 Re2'
_cell_length_a 3.335
_cell_length_b 3.335
_cell_length_c 9.308
_cell_angle_alpha 90.00
_cell_angle_beta 90.00
_cell_angle_gamma 90.00
_symmetry_space_group_name_H-M 'I 4 m m'
_symmetry_Int_Tables_number 107
_symmetry_space_group_name_Hall 'I 4 -2'
loop_
_atom_site_label
_atom_site_fract_x
_atom_site_fract_y
_atom_site_fract_z
Ta1 0.000 0.000 0.000
Cd1 0.000 0.000 0.688
Re1 0.000 0.000 0.370

=====

Entry 9:
# Li2MnVP2O8F2 GGA-PBEsol optimized geometry
# Formation energy (no corrections), eV/atom: -2.33
data_Li2MnVP2O8F2
_chemical_formula_sum 'Li2 Mn1 V1 P2 O8 F2'
_cell_length_a 5.133
_cell_length_b 5.275
_cell_length_c 7.302
_cell_angle_alpha 109.41
_cell_angle_beta 104.83
_cell_angle_gamma 98.54
_symmetry_space_group_name_H-M 'P -1'
_symmetry_Int_Tables_number 2
_symmetry_space_group_name_Hall '-P 1'
loop_
_atom_site_label
_atom_site_fract_x
_atom_site_fract_y
_atom_site_fract_z
Li1 0.084 0.435 0.314
Mn1 0.500 0.500 0.000
V1 0.000 0.000 0.500
P1 0.449 0.122 0.264
O1 0.231 0.777 0.617
O2 0.293 0.155 0.424
O3 0.355 0.328 0.167
O4 0.363 0.823 0.108
F1 0.112 0.318 0.754

=====

Entry 10:
# Zr2ZnN GGA-PBEsol optimized geometry
# Formation energy (no corrections), eV/atom: 0.14
data_Zr2ZnN
_chemical_formula_sum 'Zr8 Zn4 N4'
_cell_length_a 6.216
_cell_length_b 6.216
_cell_length_c 6.216
_cell_angle_alpha 90.00
_cell_angle_beta 90.00
_cell_angle_gamma 90.00
_symmetry_space_group_name_H-M 'F m -3 m'
_symmetry_Int_Tables_number 225
_symmetry_space_group_name_Hall '-F 4 2 3'
loop_
_atom_site_label
_atom_site_fract_x
_atom_site_fract_y
_atom_site_fract_z
Zr1 0.250 0.250 0.250
Zn1 0.000 0.000 0.000
N1 0.000 0.000 0.500

=====

Entry 11:
# SrCa2Cl GGA-PBEsol optimized geometry
# Relative energy among the computed polymorphs, eV/atom: 0.289
# Formation energy (no corrections), eV/atom: -0.47
data_SrCa2Cl
_chemical_formula_sum 'Sr2 Ca4 Cl2'
_cell_length_a 6.963
_cell_length_b 12.882
_cell_length_c 3.876
_cell_angle_alpha 90.00
_cell_angle_beta 121.57
_cell_angle_gamma 90.00
_symmetry_space_group_name_H-M 'C 1 2/m 1'
_symmetry_Int_Tables_number 12
_symmetry_space_group_name_Hall '-C 2y'
loop_
_atom_site_label
_atom_site_fract_x
_atom_site_fract_y
_atom_site_fract_z
Sr1 0.000 0.000 0.000
Ca1 0.250 0.250 0.500
Cl1 0.000 0.500 0.000

=====

Entry 12:
# La2SnI GGA-PBEsol optimized geometry
# Formation energy (no corrections), eV/atom: -0.92
data_La2SnI
_chemical_formula_sum 'La8 Sn4 I4'
_cell_length_a 7.827
_cell_length_b 7.827
_cell_length_c 7.827
_cell_angle_alpha 90.00
_cell_angle_beta 90.00
_cell_angle_gamma 90.00
_symmetry_space_group_name_H-M 'F m -3 m'
_symmetry_Int_Tables_number 225
_symmetry_space_group_name_Hall '-F 4 2 3'
loop_
_atom_site_label
_atom_site_fract_x
_atom_site_fract_y
_atom_site_fract_z
La1 0.250 0.250 0.250
Sn1 0.000 0.000 0.000
I1 0.000 0.000 0.500

=====

Repeat the sixth record exactly.
# EuP2Rh2 GGA-PBEsol optimized geometry
# Energy of formation from the pure elements, kcal/mol of atoms: -24.91
data_EuP2Rh2
_chemical_formula_sum 'Eu2 P4 Rh4'
_cell_length_a 3.958
_cell_length_b 3.958
_cell_length_c 9.892
_cell_angle_alpha 90.00
_cell_angle_beta 90.00
_cell_angle_gamma 90.00
_symmetry_space_group_name_H-M 'I 4/m m m'
_symmetry_Int_Tables_number 139
_symmetry_space_group_name_Hall '-I 4 2'
loop_
_atom_site_label
_atom_site_fract_x
_atom_site_fract_y
_atom_site_fract_z
Eu1 0.000 0.000 0.000
P1 0.000 0.000 0.385
Rh1 0.000 0.500 0.250